No. 1
VASP calculation (PBE) on Er3CoCu after structural relaxation.

a = 5.813 Å, b = 5.813 Å, c = 8.132 Å
α = 68.91°, β = 68.91°, γ = 63.44°
Element x y z (fractional)
Co (0.312, 0.688, 0.000)
Co (0.688, 0.312, 0.000)
Er (0.012, 0.012, 0.770)
Er (0.300, 0.300, 0.335)
Er (0.700, 0.700, 0.665)
Er (0.311, 0.311, 0.858)
Er (0.988, 0.988, 0.230)
Er (0.689, 0.689, 0.142)
Cu (0.705, 0.295, 0.500)
Cu (0.295, 0.705, 0.500)

Computed properties:
M_tot ... 0.00 μB/atom
Energy of formation ... -183 meV per atom

=====

No. 2
VASP calculation (PBE) on Er6CoCu after structural relaxation.

a = 4.856 Å, b = 4.856 Å, c = 9.151 Å
α = 74.62°, β = 74.61°, γ = 90.00°
Element x y z (fractional)
Co (0.000, 0.000, 0.000)
Er (0.249, 0.249, 0.503)
Er (0.095, 0.595, 0.810)
Er (0.405, 0.905, 0.190)
Er (0.751, 0.751, 0.497)
Er (0.905, 0.405, 0.190)
Er (0.595, 0.095, 0.810)
Cu (0.500, 0.500, 0.000)

Computed properties:
M_tot ... 0.00 μB/atom
Energy of formation ... -85 meV per atom

=====

No. 3
VASP calculation (PBE) on Er4Co2Cu after structural relaxation.

a = 6.828 Å, b = 8.557 Å, c = 6.816 Å
α = 124.01°, β = 106.82°, γ = 90.40°
Element x y z (fractional)
Cu (0.168, 0.809, 0.641)
Cu (0.168, 0.305, 0.137)
Er (0.363, 0.525, 0.691)
Er (0.875, 0.654, 0.778)
Er (0.385, 0.175, 0.789)
Er (0.882, 0.173, 0.291)
Er (0.384, 0.658, 0.274)
Er (0.377, 0.027, 0.181)
Er (0.834, 0.525, 0.162)
Er (0.846, 0.028, 0.651)
Co (0.070, 0.381, 0.815)
Co (0.664, 0.809, 0.145)
Co (0.566, 0.381, 0.312)
Co (0.667, 0.301, 0.633)

Computed properties:
M_tot ... 0.00 μB/atom
Energy of formation ... -197 meV per atom

=====

| no. | Fermi-level density of states (states/eV per cell) |
| --- | --- |
| 1 | 9.1 |
| 2 | 9.9 |
| 3 | 11.2 |